1.
Ce2PrFeN4 | GGA-PBE | relaxed

Lattice parameters (Å, degrees): 3.545 6.077 11.657 90.00 90.00 106.96
Site moments in Bohr magnetons follow the coordinates.
Positions (direct):
Ce 0.368 0.736 0.555  0.09
Ce 0.632 0.264 0.055  0.09
Ce 0.632 0.264 0.445  0.09
Ce 0.368 0.736 0.945  0.09
Pr 0.100 0.200 0.750  -0.02
Pr 0.900 0.800 0.250  -0.02
Fe 0.838 0.676 0.750  2.42
Fe 0.162 0.324 0.250  2.42
N 0.265 0.530 0.121  0.06
N 0.735 0.470 0.621  0.06
N 0.735 0.470 0.879  0.06
N 0.265 0.530 0.379  0.06
N 0.000 0.000 0.500  0.02
N 0.000 0.000 0.000  0.02
N 0.440 0.880 0.750  0.04
N 0.560 0.120 0.250  0.04

Theoretical density = 7.37 g cm⁻³
Total moment = 6.04 μB/cell
Formation energy without anion corrections = -8.88 eV per formula unit
Raw total energy = -8.411 eV per atom

2.
KYH2S | GGA-PBE | relaxed

Lattice parameters (Å, degrees): 4.459 4.459 5.292 90.00 90.00 90.00
Positions (direct):
Y 0.000 0.000 0.000
H 0.000 0.500 0.000
H 0.500 0.000 0.000
K 0.500 0.500 0.500
S 0.000 0.000 0.500

Theoretical density = 2.56 g cm⁻³
Total moment = 0.00 μB/cell
Raw total energy = -4.576 eV per atom

3.
CeGd2Ho | GGA-PBE | relaxed

Lattice parameters (Å, degrees): 3.529 3.529 10.014 90.00 90.00 90.00
Site moments in Bohr magnetons follow the coordinates.
Positions (direct):
Gd 0.000 0.000 0.756  7.09
Gd 0.000 0.000 0.244  7.09
Ho 0.500 0.500 0.500  -0.03
Ce 0.500 0.500 0.000  -0.63

Energy of formation from the pure elements = 0.26 eV/f.u.
Theoretical density = 8.25 g cm⁻³
Total moment = 13.71 μB/cell
Raw total energy = -9.603 eV per atom

4.
Sr2MnP2 | GGA-PBE | relaxed

Lattice parameters (Å, degrees): 7.223 7.223 4.485 90.00 90.00 90.00
Site moments in Bohr magnetons follow the coordinates.
Positions (direct):
Sr 0.157 0.657 0.500  -0.04
Sr 0.657 0.843 0.500  -0.04
Sr 0.843 0.343 0.500  -0.04
Sr 0.343 0.157 0.500  -0.04
Mn 0.000 0.000 0.000  3.69
Mn 0.500 0.500 0.000  3.70
P 0.342 0.842 0.000  -0.10
P 0.842 0.658 0.000  -0.11
P 0.658 0.158 0.000  -0.10
P 0.158 0.342 0.000  -0.11

Energy of formation from the pure elements = -2.66 eV/f.u.
Theoretical density = 4.15 g cm⁻³
Total moment = 6.22 μB/cell
Raw total energy = -5.203 eV per atom